Crystalline NaGe2Rh2 at its relaxed geometry. Source: Alexandria, functional PBE.

Its energy relative to the lowest polymorph listed for this composition is 0.0000 eV per atom. The calculation puts the total DFT energy (no corrections) at -5.56 eV per atom. The value obtained for the theoretical density is 6.89 g cm⁻³.

The structure belongs to space group I4/mmm (No. 139); the cell edges are 4.159, 4.159 and 10.417 Å and the angles 90.00°, 90.00° and 90.00°. The distinct sites, in fractional coordinates, are Na at (0.000, 0.000, 0.000), Ge at (0.000, 0.000, 0.374) and Rh at (0.000, 0.500, 0.250).